# 1
# NbSi2Pb, optimized geometry, DFT PBEsol
# Raw formation energy: 0.78 eV per atom
data_NbSi2Pb
_symmetry_space_group_name_H-M 'I -4 2 d'
_symmetry_Int_Tables_number 122
_symmetry_space_group_name_Hall 'I -4 2bw'
_cell_length_a 6.112
_cell_length_b 6.112
_cell_length_c 11.538
_cell_angle_alpha 90.00
_cell_angle_beta 90.00
_cell_angle_gamma 90.00
loop_
_atom_site_label
_atom_site_fract_x
_atom_site_fract_y
_atom_site_fract_z
_atom_site_occupancy
Nb1 0.000 0.000 0.000 1
Si1 0.217 0.250 0.125 1
Pb1 0.000 0.000 0.500 1

# 2
# SrNb3Pb, optimized geometry, DFT PBEsol
# Calculated formation energy: 2.312 eV per atom
data_SrNb3Pb
_symmetry_space_group_name_H-M 'P m -3 m'
_symmetry_Int_Tables_number 221
_symmetry_space_group_name_Hall '-P 4 2 3'
_cell_length_a 4.880
_cell_length_b 4.880
_cell_length_c 4.880
_cell_angle_alpha 90.00
_cell_angle_beta 90.00
_cell_angle_gamma 90.00
loop_
_atom_site_label
_atom_site_fract_x
_atom_site_fract_y
_atom_site_fract_z
_atom_site_occupancy
Sr1 0.000 0.000 0.000 1
Nb1 0.000 0.000 0.500 1
Pb1 0.500 0.500 0.500 1

# 3
# Ta3NbPb, optimized geometry, DFT PBEsol
# Calculated formation energy: 2.481 eV per atom
data_Ta3NbPb
_symmetry_space_group_name_H-M 'P m -3 m'
_symmetry_Int_Tables_number 221
_symmetry_space_group_name_Hall '-P 4 2 3'
_cell_length_a 4.978
_cell_length_b 4.978
_cell_length_c 4.978
_cell_angle_alpha 90.00
_cell_angle_beta 90.00
_cell_angle_gamma 90.00
loop_
_atom_site_label
_atom_site_fract_x
_atom_site_fract_y
_atom_site_fract_z
_atom_site_occupancy
Ta1 0.000 0.000 0.500 1
Nb1 0.500 0.500 0.500 1
Pb1 0.000 0.000 0.000 1

# 4
# TaNbPb3, optimized geometry, DFT PBEsol
# Calculated formation energy: 1.555 eV per atom
data_TaNbPb3
_symmetry_space_group_name_H-M 'P m -3 m'
_symmetry_Int_Tables_number 221
_symmetry_space_group_name_Hall '-P 4 2 3'
_cell_length_a 5.355
_cell_length_b 5.355
_cell_length_c 5.355
_cell_angle_alpha 90.00
_cell_angle_beta 90.00
_cell_angle_gamma 90.00
loop_
_atom_site_label
_atom_site_fract_x
_atom_site_fract_y
_atom_site_fract_z
_atom_site_occupancy
Ta1 0.000 0.000 0.000 1
Nb1 0.500 0.500 0.500 1
Pb1 0.000 0.500 0.500 1

# 5
# NbTcPb3, optimized geometry, DFT PBEsol
# Calculated formation energy: 1.241 eV per atom
data_NbTcPb3
_symmetry_space_group_name_H-M 'P m -3 m'
_symmetry_Int_Tables_number 221
_symmetry_space_group_name_Hall '-P 4 2 3'
_cell_length_a 5.215
_cell_length_b 5.215
_cell_length_c 5.215
_cell_angle_alpha 90.00
_cell_angle_beta 90.00
_cell_angle_gamma 90.00
loop_
_atom_site_label
_atom_site_fract_x
_atom_site_fract_y
_atom_site_fract_z
_atom_site_occupancy
Nb1 0.000 0.000 0.000 1
Tc1 0.500 0.500 0.500 1
Pb1 0.000 0.500 0.500 1

# 6
# NbTePb3, optimized geometry, DFT PBEsol
# Raw formation energy: 1.40 eV per atom
data_NbTePb3
_symmetry_space_group_name_H-M 'P m -3 m'
_symmetry_Int_Tables_number 221
_symmetry_space_group_name_Hall '-P 4 2 3'
_cell_length_a 5.790
_cell_length_b 5.790
_cell_length_c 5.790
_cell_angle_alpha 90.00
_cell_angle_beta 90.00
_cell_angle_gamma 90.00
loop_
_atom_site_label
_atom_site_fract_x
_atom_site_fract_y
_atom_site_fract_z
_atom_site_occupancy
Nb1 0.000 0.000 0.000 1
Te1 0.500 0.500 0.500 1
Pb1 0.000 0.500 0.500 1

# 7
# Nb2TePb, optimized geometry, DFT PBEsol
# Raw formation energy: 0.13 eV per atom
data_Nb2TePb
_symmetry_space_group_name_H-M 'F m -3 m'
_symmetry_Int_Tables_number 225
_symmetry_space_group_name_Hall '-F 4 2 3'
_cell_length_a 6.831
_cell_length_b 6.831
_cell_length_c 6.831
_cell_angle_alpha 90.00
_cell_angle_beta 90.00
_cell_angle_gamma 90.00
loop_
_atom_site_label
_atom_site_fract_x
_atom_site_fract_y
_atom_site_fract_z
_atom_site_occupancy
Nb1 0.250 0.250 0.250 1
Te1 0.000 0.000 0.000 1
Pb1 0.000 0.000 0.500 1

# 8
# Ti2Nb2Pb, optimized geometry, DFT PBEsol
# Calculated formation energy: 0.622 eV per atom
data_Ti2Nb2Pb
_symmetry_space_group_name_H-M 'I 4/m m m'
_symmetry_Int_Tables_number 139
_symmetry_space_group_name_Hall '-I 4 2'
_cell_length_a 3.854
_cell_length_b 3.854
_cell_length_c 13.234
_cell_angle_alpha 90.00
_cell_angle_beta 90.00
_cell_angle_gamma 90.00
loop_
_atom_site_label
_atom_site_fract_x
_atom_site_fract_y
_atom_site_fract_z
_atom_site_occupancy
Ti1 0.000 0.500 0.250 1
Nb1 0.000 0.000 0.098 1
Pb1 0.000 0.000 0.500 1

# 9
# NbPb3W, optimized geometry, DFT PBEsol
# Calculated formation energy: 1.529 eV per atom
# Energy above the lowest structure with this stoichiometry: 0 meV per atom
data_NbPb3W
_symmetry_space_group_name_H-M 'P m -3 m'
_symmetry_Int_Tables_number 221
_symmetry_space_group_name_Hall '-P 4 2 3'
_cell_length_a 5.306
_cell_length_b 5.306
_cell_length_c 5.306
_cell_angle_alpha 90.00
_cell_angle_beta 90.00
_cell_angle_gamma 90.00
loop_
_atom_site_label
_atom_site_fract_x
_atom_site_fract_y
_atom_site_fract_z
_atom_site_occupancy
Nb1 0.000 0.000 0.000 1
Pb1 0.000 0.500 0.500 1
W1 0.500 0.500 0.500 1

# 10
# NbZnPb3, optimized geometry, DFT PBEsol
# Calculated formation energy: 0.576 eV per atom
data_NbZnPb3
_symmetry_space_group_name_H-M 'P m -3 m'
_symmetry_Int_Tables_number 221
_symmetry_space_group_name_Hall '-P 4 2 3'
_cell_length_a 5.437
_cell_length_b 5.437
_cell_length_c 5.437
_cell_angle_alpha 90.00
_cell_angle_beta 90.00
_cell_angle_gamma 90.00
loop_
_atom_site_label
_atom_site_fract_x
_atom_site_fract_y
_atom_site_fract_z
_atom_site_occupancy
Nb1 0.000 0.000 0.000 1
Zn1 0.500 0.500 0.500 1
Pb1 0.000 0.000 0.500 1

# 11
# ScNbPdPt2, optimized geometry, DFT PBEsol
# Calculated formation energy: 0.738 eV per atom
data_ScNbPdPt2
_symmetry_space_group_name_H-M 'P 4/m m m'
_symmetry_Int_Tables_number 123
_symmetry_space_group_name_Hall '-P 4 2'
_cell_length_a 4.692
_cell_length_b 4.692
_cell_length_c 4.509
_cell_angle_alpha 90.00
_cell_angle_beta 90.00
_cell_angle_gamma 90.00
loop_
_atom_site_label
_atom_site_fract_x
_atom_site_fract_y
_atom_site_fract_z
_atom_site_occupancy
Sc1 0.000 0.000 0.000 1
Nb1 0.500 0.500 0.500 1
Pd1 0.000 0.000 0.500 1
Pt1 0.000 0.500 0.000 1

# 12
# RbNb2Pd, optimized geometry, DFT PBEsol
# Calculated formation energy: 1.240 eV per atom
data_RbNb2Pd
_symmetry_space_group_name_H-M 'F m -3 m'
_symmetry_Int_Tables_number 225
_symmetry_space_group_name_Hall '-F 4 2 3'
_cell_length_a 6.650
_cell_length_b 6.650
_cell_length_c 6.650
_cell_angle_alpha 90.00
_cell_angle_beta 90.00
_cell_angle_gamma 90.00
loop_
_atom_site_label
_atom_site_fract_x
_atom_site_fract_y
_atom_site_fract_z
_atom_site_occupancy
Rb1 0.000 0.000 0.000 1
Nb1 0.250 0.250 0.250 1
Pd1 0.000 0.000 0.500 1

no.,ρ (g/cm3)
1,5.49
2,8.19
3,11.35
4,9.68
5,9.51
6,7.21
7,10.85
8,8.26
9,9.99
10,8.06
11,10.61
12,8.53